Compound: OsPbW2
Source: Alexandria
Functional: PBE
Structure: optimized geometry

The space group is Pmmm (No. 47) and the conventional cell measures 2.880, 3.926 and 6.664 Å, with angles of 90.00, 90.00 and 90.00 degrees. The inequivalent atoms are Os at (0.000, 0.000, 0.000), Pb at (0.000, 0.000, 0.500) and W at (0.500, 0.500, 0.188).

The mass density is 16.86 g cm⁻³. As for the energy of formation from the pure elements: 0.7136 eV/atom.